Entry 1:
The following is a PBE calculation of an optimized crystal structure of Y2CdCo, from the Alexandria database.

Cell: 8.8922 8.8922 8.8922 Å, 23.83 23.83 23.83°
Closest atoms and distances in Å follow each position.
Fractional positions:
Y 0.0262 0.0262 0.0262  3 Co 2.65
Y 0.2401 0.2401 0.2401  3 Cd 3.23
Cd 0.4794 0.4794 0.4794  3 Co 2.60
Co 0.7544 0.7544 0.7544  3 Cd 2.60, 3 Y 2.65

Values from the calculation:
Space-group type ... R3m, No. 160

=====

Entry 2:
The following is a PBE calculation of an optimized crystal structure of Y12CdCo6, from the Alexandria database.

Cell: 8.4020 8.4020 8.4020 Å, 109.47 109.47 109.47°
Closest atoms and distances in Å follow each position.
Fractional positions:
Y 0.1088 0.8059 0.3029  3 Co 2.68-2.90
Y 0.3029 0.4970 0.1941  3 Co 2.68-2.90
Y 0.8912 0.1941 0.6971  3 Co 2.68-2.90
Y 0.4970 0.1941 0.3029  3 Co 2.68-2.90
Y 0.8059 0.6971 0.5030  3 Co 2.68-2.90
Y 0.1941 0.6971 0.8912  3 Co 2.68-2.90
Y 0.5030 0.8059 0.6971  3 Co 2.68-2.90
Y 0.1941 0.3029 0.4970  3 Co 2.68-2.90
Y 0.3029 0.1088 0.8059  3 Co 2.68-2.90
Y 0.6971 0.5030 0.8059  3 Co 2.68-2.90
Y 0.8059 0.3029 0.1088  3 Co 2.68-2.90
Y 0.6971 0.8912 0.1941  3 Co 2.68-2.90
Co 0.5000 0.8877 0.3877  1 Co 2.18
Co 0.5000 0.1123 0.6123  1 Co 2.18
Co 0.3877 0.5000 0.8877  1 Co 2.18
Co 0.1123 0.6123 0.5000  1 Co 2.18
Co 0.8877 0.3877 0.5000  1 Co 2.18
Co 0.6123 0.5000 0.1123  1 Co 2.18
Cd 0.0000 0.0000 0.0000  12 Y 3.49

Values from the calculation:
Space-group type ... Im-3, No. 204

=====

Entry 3:
The following is a PBE calculation of an optimized crystal structure of YCd2Co, from the Alexandria database.

Cell: 4.7750 3.4129 5.3592 Å, 73.20 90.00 90.00°
Closest atoms and distances in Å follow each position.
Fractional positions:
Co 0.5000 0.2500 0.2500  2 Y 2.73, 4 Cd 2.77
Y 0.5000 0.7500 0.7500  2 Co 2.73
Cd 0.0000 0.1085 0.0296  2 Co 2.77, 3 Cd 2.80-2.87
Cd 0.0000 0.3915 0.4704  2 Co 2.77, 3 Cd 2.80-2.87

Values from the calculation:
Space-group type ... P2/m, No. 10

=====

Entry 4:
The following is a PBE calculation of an optimized crystal structure of Y6CdCo2, from the Alexandria database.

Cell: 8.3951 8.3951 8.3951 Å, 106.86 109.28 112.32°
Closest atoms and distances in Å follow each position.
Fractional positions:
Cd 0.0000 0.0000 0.0000  8 Y 3.07-3.20, 2 Co 3.32
Cd 0.0000 0.5000 0.5000  12 Y 3.30-3.68
Co 0.5000 0.6128 0.1128  1 Co 2.26
Co 0.6586 0.0000 0.6586  6 Y 2.72-2.92
Co 0.3414 0.0000 0.3414  6 Y 2.72-2.92
Co 0.5000 0.3872 0.8872  1 Co 2.26
Y 0.1022 0.2849 0.8172  3 Co 2.91-3.08, 1 Cd 3.20
Y 0.7971 0.2358 0.0329  1 Co 2.72
Y 0.7971 0.7642 0.5613  1 Co 2.72
Y 0.2029 0.7642 0.9671  1 Co 2.72
Y 0.6879 0.3637 0.6758  3 Co 2.75-2.92
Y 0.3121 0.6363 0.3242  3 Co 2.75-2.92
Y 0.5323 0.7151 0.8172  3 Co 2.91-3.08, 1 Cd 3.20
Y 0.4677 0.2849 0.1828  3 Co 2.91-3.08, 1 Cd 3.20
Y 0.8978 0.7151 0.1828  3 Co 2.91-3.08, 1 Cd 3.20
Y 0.3121 0.9879 0.6758  3 Co 2.75-2.92
Y 0.2029 0.2358 0.4387  1 Co 2.72
Y 0.6879 0.0121 0.3242  3 Co 2.75-2.92

Values from the calculation:
Space-group type ... Immm, No. 71

=====

Entry 5:
The following is a PBE calculation of an optimized crystal structure of Y12CdCo5, from the Alexandria database.

Cell: 8.3199 8.3199 8.3199 Å, 107.36 110.59 110.48°
Closest atoms and distances in Å follow each position.
Fractional positions:
Y 0.5232 0.8149 0.7084  2 Co 2.86
Y 0.8072 0.0158 0.2086  2 Co 2.72-2.75
Y 0.6958 0.3146 0.0104  3 Co 2.73-2.84
Y 0.3042 0.6854 0.9896  3 Co 2.73-2.84
Y 0.1928 0.9842 0.7914  2 Co 2.72-2.75
Y 0.6958 0.6854 0.3811  3 Co 2.73-2.84
Y 0.8072 0.5986 0.7914  2 Co 2.72-2.75
Y 0.1928 0.4014 0.2086  2 Co 2.72-2.75
Y 0.4768 0.1851 0.2916  2 Co 2.86
Y 0.8935 0.1851 0.7084  2 Co 2.86
Y 0.1065 0.8149 0.2916  2 Co 2.86
Y 0.3042 0.3146 0.6189  3 Co 2.73-2.84
Co 0.0000 0.0000 0.0000  4 Y 2.75
Co 0.6197 0.6197 0.0000  1 Co 2.27
Co 0.3803 0.3803 0.0000  1 Co 2.27
Co 0.5000 0.8884 0.3884  1 Co 2.20
Co 0.5000 0.1116 0.6116  1 Co 2.20
Cd 0.0000 0.5000 0.5000  12 Y 3.40-3.58

Values from the calculation:
Space-group type ... Immm, No. 71

=====

Entry 6:
The following is a PBE calculation of an optimized crystal structure of YCd2Co, from the Alexandria database.

Cell: 5.9389 5.9389 4.7447 Å, 66.55 66.55 32.51°
Closest atoms and distances in Å follow each position.
Fractional positions:
Cd 0.5394 0.5394 0.4608  2 Co 2.75, 4 Cd 3.01
Cd 0.9606 0.9606 0.0392  2 Co 2.75, 4 Cd 3.01
Y 0.7500 0.7500 0.7500  4 Co 2.90, 4 Cd 3.22-3.23
Co 0.2500 0.2500 0.2500  4 Cd 2.75, 4 Y 2.90

Values from the calculation:
Space-group type ... C2/m, No. 12

=====

Entry 7:
The following is a PBE calculation of an optimized crystal structure of YCd2Co, from the Alexandria database.

Cell: 3.3145 3.3145 7.5454 Å, 90.00 90.00 90.01°
Closest atoms and distances in Å follow each position.
Fractional positions:
Cd 0.5000 0.5000 0.2881  4 Co 2.79, 4 Cd 3.09, 1 Y 3.11
Cd 0.0000 0.0000 0.0221  8 Cd 3.09-3.31, 4 Y 3.37
Co 0.0000 0.0000 0.4890  4 Cd 2.79, 4 Y 2.84
Y 0.5000 0.5000 0.7008  4 Co 2.84, 1 Cd 3.11

Values from the calculation:
Space-group type ... P4mm, No. 99

=====

Entry 8:
The following is a PBE calculation of an optimized crystal structure of Y4CdCo, from the Alexandria database.

Cell: 9.5409 9.5409 9.5409 Å, 60.00 60.00 60.00°
Closest atoms and distances in Å follow each position.
Fractional positions:
Cd 0.1697 0.1697 0.1697  3 Cd 3.07, 3 Y 3.25
Cd 0.4910 0.1697 0.1697  3 Cd 3.07, 3 Y 3.25
Cd 0.1697 0.1697 0.4910  3 Cd 3.07, 3 Y 3.25
Cd 0.1697 0.4910 0.1697  3 Cd 3.07, 3 Y 3.25
Co 0.6090 0.6090 0.6090  6 Y 2.77-2.79
Co 0.1731 0.6090 0.6090  6 Y 2.77-2.79
Co 0.6090 0.1731 0.6090  6 Y 2.77-2.79
Co 0.6090 0.6090 0.1731  6 Y 2.77-2.79
Y 0.1881 0.8119 0.8119  2 Cd 3.25, 2 Co 3.44, 10 Y 3.44-3.59
Y 0.8119 0.8119 0.1881  2 Cd 3.25, 2 Co 3.44, 10 Y 3.44-3.59
Y 0.8119 0.1881 0.1881  2 Cd 3.25, 2 Co 3.44, 10 Y 3.44-3.59
Y 0.5613 0.9387 0.5613  2 Co 2.77
Y 0.7905 0.4032 0.4032  3 Co 2.79
Y 0.5613 0.5613 0.9387  2 Co 2.77
Y 0.4032 0.4032 0.7905  3 Co 2.79
Y 0.1881 0.1881 0.8119  2 Cd 3.25, 2 Co 3.44, 10 Y 3.44-3.59
Y 0.4032 0.7905 0.4032  3 Co 2.79
Y 0.8119 0.1881 0.8119  2 Cd 3.25, 2 Co 3.44, 10 Y 3.44-3.59
Y 0.5613 0.9387 0.9387  2 Co 2.77
Y 0.9387 0.5613 0.5613  2 Co 2.77
Y 0.1881 0.8119 0.1881  2 Cd 3.25, 2 Co 3.44, 10 Y 3.44-3.59
Y 0.9387 0.9387 0.5613  2 Co 2.77
Y 0.4032 0.4032 0.4032  3 Co 2.79
Y 0.9387 0.5613 0.9387  2 Co 2.77

Values from the calculation:
Space-group type ... F-43m, No. 216
Distance to the lowest polymorph of the same formula ... 0.0000 eV per atom

=====

no.,E_form (eV per atom)
1,0.182
2,-0.209
3,0.068
4,-0.207
5,-0.199
6,-0.024
7,-0.038
8,-0.246